Entry 1:
The following is a PBE-GGA calculation of Pm3PrS4 after structural relaxation, from Alexandria via LeMat-Bulk.

POSCAR file:
```
Pm3PrS4
1.0
7.046 0.000 0.000
0.000 8.039 0.000
-2.338 0.000 6.641
Pm Pr S
6 2 8
direct
0.000 0.125 0.250
0.000 0.375 0.750
0.000 0.625 0.250
0.000 0.875 0.750
0.500 0.125 0.750
0.500 0.875 0.250
0.500 0.375 0.250
0.500 0.625 0.750
0.246 0.373 0.500
0.246 0.627 0.000
0.248 0.123 0.998
0.248 0.877 0.498
0.752 0.123 0.502
0.752 0.877 0.002
0.754 0.373 0.000
0.754 0.627 0.500
```

Calculated values
SG ... P2/c, No. 13
Polymorph energy (0 for the lowest one) ... 0 meV per atom
Uncorrected formation energy ... -2.03 eV/atom

---

Entry 2:
The following is a PBE-GGA calculation of Pm4PrS5 after structural relaxation, from Alexandria via LeMat-Bulk.

POSCAR file:
```
Pm4PrS5
1.0
-2.024 2.861 10.129
2.024 -2.861 10.129
2.024 2.861 -10.129
Pm Pr S
4 1 5
direct
0.100 0.100 0.000
0.299 0.299 0.000
0.701 0.701 0.000
0.900 0.900 0.000
0.500 0.500 0.000
0.000 0.500 0.500
0.200 0.700 0.500
0.398 0.898 0.500
0.602 0.102 0.500
0.800 0.300 0.500
```

Calculated values
SG ... Immm, No. 71
Uncorrected formation energy ... -2.03 eV/atom

---

Entry 3:
The following is a PBE-GGA calculation of Pm5PrS8 after structural relaxation, from Alexandria via LeMat-Bulk.

POSCAR file:
```
Pm5PrS8
1.0
-4.362 4.362 4.159
4.362 -4.362 4.159
4.362 4.362 -4.159
Pm Pr S
5 1 8
direct
0.000 0.000 0.000
0.126 0.528 0.904
0.472 0.376 0.598
0.624 0.222 0.096
0.778 0.874 0.402
0.250 0.750 0.500
0.011 0.267 0.389
0.236 0.132 0.758
0.374 0.479 0.242
0.378 0.989 0.256
0.521 0.764 0.895
0.733 0.122 0.744
0.868 0.626 0.105
0.878 0.622 0.611
```

Calculated values
SG ... I-4, No. 82
Uncorrected formation energy ... -2.03 eV/atom

---

| no. | total DFT energy (no corrections) (eV per cell) |
| --- | --- |
| 1 | -103.610 |
| 2 | -64.685 |
| 3 | -89.932 |